Compound: Sc2NO
Source: Alexandria via LeMat-Bulk
Functional: PBE-GGA
Structure: relaxed

Results
polymorph energy (0 for the lowest one)	211	kJ/mol of formula units

a = 3.3814 Å, b = 3.3814 Å, c = 18.3924 Å
α = 90.00°, β = 90.00°, γ = 120.00°
Space group R-3m (No. 166, hexagonal axes)
One atom of each set of equivalent atoms:
Sc 0.0000 0.0000 0.1031 x6
N 0.0000 0.0000 0.5000 x3
O 0.0000 0.0000 0.0000 x3

=====

Compound: CdAgOs2
Source: Alexandria via LeMat-Bulk
Functional: PBE-GGA
Structure: relaxed

Results
calculated total energy	-5.88	eV/atom

a = 4.8052 Å, b = 2.7819 Å, c = 5.0961 Å
α = 90.00°, β = 107.72°, γ = 90.00°
Space group P2/m (No. 10)
One atom of each set of equivalent atoms:
Cd 0.0000 0.0000 0.0000 x1
Ag 0.5000 0.5000 0.0000 x1
Os 0.0000 0.5000 0.5000 x1
Os 0.5000 0.0000 0.5000 x1

=====

Compound: Tb2Si4Ni3Pd
Source: Alexandria via LeMat-Bulk
Functional: PBE-GGA
Structure: relaxed

Results
calculated total energy	-6.21	eV/atom

a = 4.0109 Å, b = 4.0109 Å, c = 9.6543 Å
α = 90.00°, β = 90.00°, γ = 90.00°
Space group P-4m2 (No. 115)
One atom of each set of equivalent atoms:
Tb 0.0000 0.5000 0.2423 x2
Si 0.0000 0.0000 0.0000 x1
Si 0.0000 0.5000 0.6404 x2
Si 0.5000 0.5000 0.0000 x1
Ni 0.0000 0.5000 0.8790 x2
Ni 0.5000 0.5000 0.5000 x1
Pd 0.0000 0.0000 0.5000 x1

=====

Compound: H2Pd4Pt
Source: Alexandria via LeMat-Bulk
Functional: PBE-GGA
Structure: relaxed

Results
calculated total energy	-4.82	eV/atom

a = 2.8684 Å, b = 5.0066 Å, c = 6.4309 Å
α = 97.53°, β = 102.80°, γ = 106.24°
Space group P-1 (No. 2)
One atom of each set of equivalent atoms:
H 0.2407 0.2321 0.2489 x2
Pd 0.0922 0.8804 0.3050 x2
Pd 0.3072 0.7022 0.9122 x2
Pt 0.5000 0.5000 0.5000 x1

=====

Compound: Sn3PtAu
Source: Alexandria via LeMat-Bulk
Functional: PBE-GGA
Structure: relaxed

Results
polymorph energy (0 for the lowest one)	0	kJ/mol of formula units

a = 12.1668 Å, b = 6.6175 Å, c = 11.9382 Å
α = 90.00°, β = 105.36°, γ = 90.00°
Space group C2/c (No. 15)
One atom of each set of equivalent atoms:
Sn 0.0345 0.2183 0.0290 x8
Sn 0.1455 0.0812 0.7940 x8
Sn 0.2023 0.3969 0.3847 x8
Pt 0.0000 0.2401 0.2500 x4
Pt 0.2500 0.2500 0.0000 x4
Au 0.1251 0.4187 0.6493 x8

=====

Compound: BaLa2Te5O14
Source: Alexandria via LeMat-Bulk
Functional: PBE-GGA
Structure: relaxed

Results
calculated total energy	-6.28	eV/atom

a = 19.4285 Å, b = 6.0992 Å, c = 13.4298 Å
α = 90.00°, β = 107.90°, γ = 90.00°
Space group C2/c (No. 15)
One atom of each set of equivalent atoms:
Ba 0.2500 0.2500 0.0000 x4
La 0.1740 0.2223 0.6680 x8
Te 0.0000 0.2889 0.7500 x4
Te 0.0537 0.2530 0.0295 x8
Te 0.1436 0.2467 0.3388 x8
O 0.0603 0.0926 0.7073 x8
O 0.0651 0.4624 0.5886 x8
O 0.0819 0.2907 0.9046 x8
O 0.1479 0.1584 0.1075 x8
O 0.1682 0.2411 0.4856 x8
O 0.2027 0.4861 0.3197 x8
O 0.2131 0.0311 0.3285 x8

=====

Compound: LaNdOsBr
Source: Alexandria via LeMat-Bulk
Functional: PBE-GGA
Structure: relaxed

Results
calculated total energy	-6.34	eV/atom

a = 4.1489 Å, b = 4.1489 Å, c = 23.8365 Å
α = 90.00°, β = 90.00°, γ = 120.00°
Space group R3m (No. 160, hexagonal axes)
One atom of each set of equivalent atoms:
La 0.0000 0.0000 0.0000 x3
Nd 0.0000 0.0000 0.7959 x3
Os 0.0000 0.0000 0.3964 x3
Br 0.0000 0.0000 0.2267 x3

=====

Compound: LiY2Cr
Source: Alexandria via LeMat-Bulk
Functional: PBE-GGA
Structure: relaxed

Results
calculated total energy	-5.91	eV/atom

a = 5.1142 Å, b = 5.1142 Å, c = 3.6321 Å
α = 90.00°, β = 90.00°, γ = 90.00°
Space group P4/mmm (No. 123)
One atom of each set of equivalent atoms:
Li 0.0000 0.0000 0.0000 x1
Y 0.0000 0.5000 0.5000 x2
Cr 0.5000 0.5000 0.0000 x1

=====

Number 1: mass density 3.280 Mg/m³. Number 2: mass density 15.373 Mg/m³. Number 3: mass density 7.620 Mg/m³. Number 4: mass density 12.223 Mg/m³. Number 5: mass density 10.723 Mg/m³. Number 6: mass density 5.602 Mg/m³. Number 7: mass density 7.756 Mg/m³. Number 8: mass density 4.138 Mg/m³.